(1)
Below is a relaxed structure of NbV2GaS, with properties calculated at the GGA-PBE level.

Cell: 4.6324 4.6324 4.8795 Å, 90.00 90.00 90.00°
Element x y z (fractional)
Nb1 0.0000 0.0000 0.0000
V1 0.0000 0.5000 0.5000
V2 0.5000 0.0000 0.5000
Ga1 0.0000 0.0000 0.5000
S1 0.5000 0.5000 0.0000

Calculated values
Raw formation energy = 1.1851 eV/atom
Space group = P4/mmm
Fermi-level density of states = 1.191 states/eV/atom
E_tot = -29.54 eV for the cell shown

(2)
Below is a relaxed structure of YNbGaS2, with properties calculated at the GGA-PBE level.

Cell: 4.7983 4.7983 4.8781 Å, 90.00 90.00 90.00°
Element x y z (fractional)
Y1 0.0000 0.0000 0.0000
Nb1 0.5000 0.5000 0.0000
Ga1 0.5000 0.5000 0.5000
S1 0.0000 0.5000 0.5000
S2 0.5000 0.0000 0.5000

Calculated values
Raw formation energy = 0.3077 eV/atom
Space group = P4/mmm
Fermi-level density of states = 0.995 states/eV/atom
E_tot = -26.28 eV for the cell shown

(3)
Below is a relaxed structure of Nb2GaSb, with properties calculated at the GGA-PBE level.

Cell: 4.0411 4.0411 19.8967 Å, 90.00 90.00 90.00°
Element x y z (fractional)
Nb1 0.2307 0.2500 0.1250
Nb2 0.2500 0.7307 0.3750
Nb3 0.2500 0.7693 0.8750
Nb4 0.2693 0.2500 0.6250
Nb5 0.7307 0.7500 0.6250
Nb6 0.7500 0.2307 0.8750
Nb7 0.7500 0.2693 0.3750
Nb8 0.7693 0.7500 0.1250
Ga1 0.0000 0.0000 0.0000
Ga2 0.0000 0.5000 0.2500
Ga3 0.5000 0.0000 0.7500
Ga4 0.5000 0.5000 0.5000
Sb1 0.0000 0.0000 0.5000
Sb2 0.0000 0.5000 0.7500
Sb3 0.5000 0.0000 0.2500
Sb4 0.5000 0.5000 0.0000

Calculated values
Raw formation energy = 0.1947 eV/atom
Space group = I-42d
Fermi-level density of states = 0.752 states/eV/atom
E_tot = -106.04 eV for the cell shown
Offset from the most stable computed form = 191 meV/atom

(4)
Below is a relaxed structure of NbGa2Sb, with properties calculated at the GGA-PBE level.

Cell: 7.7077 7.7077 5.6210 Å, 90.00 90.00 90.00°
Element x y z (fractional)
Nb1 0.0000 0.0000 0.0000
Nb2 0.0000 0.5000 0.2500
Nb3 0.5000 0.0000 0.7500
Nb4 0.5000 0.5000 0.5000
Ga1 0.2349 0.7500 0.1250
Ga2 0.2500 0.2349 0.8750
Ga3 0.2500 0.2651 0.3750
Ga4 0.2651 0.7500 0.6250
Ga5 0.7349 0.2500 0.6250
Ga6 0.7500 0.7349 0.3750
Ga7 0.7500 0.7651 0.8750
Ga8 0.7651 0.2500 0.1250
Sb1 0.0000 0.0000 0.5000
Sb2 0.0000 0.5000 0.7500
Sb3 0.5000 0.0000 0.2500
Sb4 0.5000 0.5000 0.0000

Calculated values
Raw formation energy = 0.2986 eV/atom
Space group = I-42d
Fermi-level density of states = 0.654 states/eV/atom
E_tot = -76.21 eV for the cell shown

(5)
Below is a relaxed structure of NbGaSb2, with properties calculated at the GGA-PBE level.

Cell: 6.3651 6.3651 12.5740 Å, 90.00 90.00 90.00°
Element x y z (fractional)
Nb1 0.0000 0.0000 0.0000
Nb2 0.0000 0.5000 0.2500
Nb3 0.5000 0.0000 0.7500
Nb4 0.5000 0.5000 0.5000
Ga1 0.0000 0.0000 0.5000
Ga2 0.0000 0.5000 0.7500
Ga3 0.5000 0.0000 0.2500
Ga4 0.5000 0.5000 0.0000
Sb1 0.2468 0.2500 0.6250
Sb2 0.2500 0.7468 0.8750
Sb3 0.2500 0.7532 0.3750
Sb4 0.2532 0.2500 0.1250
Sb5 0.7468 0.7500 0.1250
Sb6 0.7500 0.2468 0.3750
Sb7 0.7500 0.2532 0.8750
Sb8 0.7532 0.7500 0.6250

Calculated values
Raw formation energy = 0.3734 eV/atom
Space group = I-42d
Fermi-level density of states = 0.824 states/eV/atom
E_tot = -79.39 eV for the cell shown

(6)
Below is a relaxed structure of Nb2GaSb, with properties calculated at the GGA-PBE level.

Cell: 6.6615 6.6615 6.6615 Å, 90.00 90.00 90.00°
Element x y z (fractional)
Nb1 0.2500 0.2500 0.2500
Nb2 0.2500 0.2500 0.7500
Nb3 0.2500 0.7500 0.2500
Nb4 0.2500 0.7500 0.7500
Nb5 0.7500 0.2500 0.2500
Nb6 0.7500 0.2500 0.7500
Nb7 0.7500 0.7500 0.2500
Nb8 0.7500 0.7500 0.7500
Ga1 0.0000 0.0000 0.0000
Ga2 0.0000 0.5000 0.5000
Ga3 0.5000 0.0000 0.5000
Ga4 0.5000 0.5000 0.0000
Sb1 0.0000 0.0000 0.5000
Sb2 0.0000 0.5000 0.0000
Sb3 0.5000 0.0000 0.0000
Sb4 0.5000 0.5000 0.5000

Calculated values
Raw formation energy = 0.0037 eV/atom
Space group = Fm-3m
Fermi-level density of states = 0.909 states/eV/atom
E_tot = -109.10 eV for the cell shown
Offset from the most stable computed form = 0 meV/atom

Question: E_tot of number 2 (YNbGaS2)?
Answer: -26.28 eV for the cell shown

Question: E_tot of number 5 (NbGaSb2)?
Answer: -79.39 eV for the cell shown

Repeat the sixth record exactly.
Below is a relaxed structure of Nb2GaSb, with properties calculated at the GGA-PBE level.

Cell: 6.6615 6.6615 6.6615 Å, 90.00 90.00 90.00°
Element x y z (fractional)
Nb1 0.2500 0.2500 0.2500
Nb2 0.2500 0.2500 0.7500
Nb3 0.2500 0.7500 0.2500
Nb4 0.2500 0.7500 0.7500
Nb5 0.7500 0.2500 0.2500
Nb6 0.7500 0.2500 0.7500
Nb7 0.7500 0.7500 0.2500
Nb8 0.7500 0.7500 0.7500
Ga1 0.0000 0.0000 0.0000
Ga2 0.0000 0.5000 0.5000
Ga3 0.5000 0.0000 0.5000
Ga4 0.5000 0.5000 0.0000
Sb1 0.0000 0.0000 0.5000
Sb2 0.0000 0.5000 0.0000
Sb3 0.5000 0.0000 0.0000
Sb4 0.5000 0.5000 0.5000

Calculated values
Raw formation energy = 0.0037 eV/atom
Space group = Fm-3m
Fermi-level density of states = 0.909 states/eV/atom
E_tot = -109.10 eV for the cell shown
Offset from the most stable computed form = 0 meV/atom

Question: The lowest E_tot belongs to which entry?
Answer: number 6